# 1
{
  "formula": "AcDyMgSi",
  "functional": "PBE",
  "state": "optimized geometry",
  "raw_formation_energy_mev_per_atom": -178.0,
  "magnetic_moment_mub_per_fu": 0.00,
  "lattice_angstrom": [[0.000, 3.779, 3.779], [3.779, 0.000, 3.779], [3.779, 3.779, 0.000]],
  "species": ["Ac", "Dy", "Mg", "Si"],
  "fractional_positions": [[0.000, 0.000, 0.000], [0.500, 0.500, 0.500], [0.750, 0.750, 0.750], [0.250, 0.250, 0.250]]
}

---

# 2
{
  "formula": "FeB2Ir4",
  "functional": "PBE",
  "state": "optimized geometry",
  "magnetic_moment_mub_per_fu": 4.23,
  "ef_ev_per_atom": 1.189,
  "relative_energy_mev_per_atom": 1110,
  "lattice_angstrom": [[-2.230, 2.230, 5.238], [2.230, -2.230, 5.238], [2.230, 2.230, -5.238]],
  "species": ["Fe", "B", "B", "Ir", "Ir", "Ir", "Ir"],
  "fractional_positions": [[0.000, 0.000, 0.000], [0.421, 0.421, 0.000], [0.579, 0.579, 0.000], [0.000, 0.500, 0.500], [0.233, 0.233, 0.000], [0.500, 0.000, 0.500], [0.767, 0.767, 0.000]]
}

---

# 3
{
  "formula": "Zr2BeRuF",
  "functional": "PBE",
  "state": "optimized geometry",
  "raw_formation_energy_mev_per_atom": 22.2,
  "magnetic_moment_mub_per_fu": 0.13,
  "relative_energy_mev_per_atom": 0,
  "lattice_angstrom": [[4.988, 0.000, 0.000], [0.000, 4.988, 0.000], [0.000, 0.000, 4.219]],
  "species": ["Zr", "Zr", "Be", "Ru", "F"],
  "fractional_positions": [[0.000, 0.500, 0.000], [0.500, 0.000, 0.000], [0.000, 0.000, 0.500], [0.000, 0.000, 0.000], [0.500, 0.500, 0.500]]
}

---

# 4
{
  "formula": "CaBe2Al",
  "functional": "PBE",
  "state": "optimized geometry",
  "magnetic_moment_mub_per_fu": 0.00,
  "ef_ev_per_atom": 0.263,
  "lattice_angstrom": [[-2.215, 2.215, 8.029], [2.215, -2.215, 8.029], [2.215, 2.215, -8.029]],
  "species": ["Ca", "Ca", "Be", "Be", "Be", "Be", "Al", "Al"],
  "fractional_positions": [[0.375, 0.625, 0.750], [0.625, 0.375, 0.250], [0.000, 0.000, 0.000], [0.000, 0.000, 0.500], [0.000, 0.500, 0.000], [0.500, 0.000, 0.500], [0.125, 0.875, 0.250], [0.875, 0.125, 0.750]]
}

---

# 5
{
  "formula": "PmMgHg4",
  "functional": "PBE",
  "state": "optimized geometry",
  "magnetic_moment_mub_per_fu": 0.00,
  "ef_ev_per_atom": -0.292,
  "relative_energy_mev_per_atom": 0,
  "lattice_angstrom": [[4.304, 0.000, 0.000], [0.000, 4.918, 0.000], [2.145, 0.006, 6.950]],
  "species": ["Pm", "Mg", "Hg", "Hg", "Hg", "Hg"],
  "fractional_positions": [[0.000, 0.000, 0.000], [0.185, 0.501, 0.628], [0.330, 0.000, 0.340], [0.527, 0.500, 0.946], [0.673, 0.000, 0.653], [0.845, 0.500, 0.309]]
}

---

# 6
{
  "formula": "Nd3HoTh2",
  "functional": "PBE",
  "state": "optimized geometry",
  "magnetic_moment_mub_per_fu": 0.00,
  "ef_ev_per_atom": 0.044,
  "relative_energy_mev_per_atom": 0,
  "lattice_angstrom": [[10.214, 0.000, 0.000], [0.000, 3.630, 0.000], [-0.074, 0.000, 10.836]],
  "species": ["Nd", "Nd", "Nd", "Nd", "Nd", "Nd", "Ho", "Ho", "Th", "Th", "Th", "Th"],
  "fractional_positions": [[0.123, 0.250, 0.250], [0.139, 0.250, 0.916], [0.367, 0.750, 0.416], [0.633, 0.250, 0.584], [0.861, 0.750, 0.084], [0.877, 0.750, 0.750], [0.375, 0.750, 0.749], [0.625, 0.250, 0.251], [0.121, 0.250, 0.582], [0.385, 0.750, 0.082], [0.615, 0.250, 0.918], [0.879, 0.750, 0.418]]
}

---

# 7
{
  "formula": "LaScPb",
  "functional": "PBE",
  "state": "optimized geometry",
  "magnetic_moment_mub_per_fu": 0.00,
  "ef_ev_per_atom": -0.337,
  "relative_energy_mev_per_atom": 143,
  "lattice_angstrom": [[4.991, 0.000, 0.000], [-2.495, 4.322, 0.000], [0.000, 0.000, 4.272]],
  "species": ["La", "Sc", "Pb"],
  "fractional_positions": [[0.000, 0.000, 0.000], [0.333, 0.667, 0.500], [0.667, 0.333, 0.500]]
}

---

# 8
{
  "formula": "CuP2PbO",
  "functional": "PBE",
  "state": "optimized geometry",
  "raw_formation_energy_mev_per_atom": 1138.4,
  "magnetic_moment_mub_per_fu": 0.00,
  "relative_energy_mev_per_atom": 770,
  "lattice_angstrom": [[5.275, 0.000, 0.000], [0.000, 5.275, 0.000], [0.000, 0.000, 4.058]],
  "species": ["Cu", "P", "P", "Pb", "O"],
  "fractional_positions": [[0.000, 0.000, 0.000], [0.000, 0.500, 0.500], [0.500, 0.000, 0.500], [0.500, 0.500, 0.500], [0.500, 0.500, 0.000]]
}

---

# 9
{
  "formula": "Bi2AuCl",
  "functional": "PBE",
  "state": "optimized geometry",
  "raw_formation_energy_mev_per_atom": -300.0,
  "magnetic_moment_mub_per_fu": 0.00,
  "relative_energy_mev_per_atom": 0,
  "lattice_angstrom": [[2.244, 1.296, 6.810], [-2.244, 1.296, 6.810], [0.000, -2.591, 6.810]],
  "species": ["Bi", "Bi", "Au", "Cl"],
  "fractional_positions": [[0.228, 0.228, 0.228], [0.772, 0.772, 0.772], [0.500, 0.500, 0.500], [0.000, 0.000, 0.000]]
}

---

# 10
{
  "formula": "RbIn2O3",
  "functional": "PBE",
  "state": "optimized geometry",
  "raw_formation_energy_mev_per_atom": -1154.5,
  "magnetic_moment_mub_per_fu": 0.00,
  "lattice_angstrom": [[3.285, 1.897, 6.944], [-3.285, 1.897, 6.944], [0.000, -3.793, 6.944]],
  "species": ["Rb", "Rb", "In", "In", "In", "In", "O", "O", "O", "O", "O", "O"],
  "fractional_positions": [[0.160, 0.160, 0.160], [0.840, 0.840, 0.840], [0.000, 0.000, 0.000], [0.000, 0.500, 0.500], [0.500, 0.000, 0.500], [0.500, 0.500, 0.000], [0.222, 0.222, 0.719], [0.222, 0.719, 0.222], [0.281, 0.778, 0.778], [0.719, 0.222, 0.222], [0.778, 0.281, 0.778], [0.778, 0.778, 0.281]]
}

---

# 11
{
  "formula": "Ho12SbRh6",
  "functional": "PBE",
  "state": "optimized geometry",
  "raw_formation_energy_mev_per_atom": -674.5,
  "magnetic_moment_mub_per_fu": 0.00,
  "lattice_angstrom": [[-4.926, 4.926, 4.926], [4.926, -4.926, 4.926], [4.926, 4.926, -4.926]],
  "species": ["Ho", "Ho", "Ho", "Ho", "Ho", "Ho", "Ho", "Ho", "Ho", "Ho", "Ho", "Ho", "Sb", "Rh", "Rh", "Rh", "Rh", "Rh", "Rh"],
  "fractional_positions": [[0.111, 0.302, 0.810], [0.190, 0.492, 0.302], [0.190, 0.889, 0.698], [0.302, 0.190, 0.492], [0.302, 0.810, 0.111], [0.492, 0.302, 0.190], [0.508, 0.698, 0.810], [0.698, 0.190, 0.889], [0.698, 0.810, 0.508], [0.810, 0.111, 0.302], [0.810, 0.508, 0.698], [0.889, 0.698, 0.190], [0.000, 0.000, 0.000], [0.131, 0.500, 0.631], [0.369, 0.869, 0.500], [0.500, 0.369, 0.869], [0.500, 0.631, 0.131], [0.631, 0.131, 0.500], [0.869, 0.500, 0.369]]
}

---

# 12
{
  "formula": "Li2FeTc",
  "functional": "PBE",
  "state": "optimized geometry",
  "magnetic_moment_mub_per_fu": 1.77,
  "ef_ev_per_atom": 0.227,
  "relative_energy_mev_per_atom": 30,
  "lattice_angstrom": [[2.508, 0.000, 0.000], [0.000, 4.102, 0.000], [-0.838, 0.000, 5.264]],
  "species": ["Li", "Li", "Fe", "Tc"],
  "fractional_positions": [[0.000, 0.000, 0.000], [0.276, 0.500, 0.785], [0.437, 0.000, 0.481], [0.744, 0.500, 0.313]]
}

---

# 13
{
  "formula": "TaGaSeBr2",
  "functional": "PBE",
  "state": "optimized geometry",
  "raw_formation_energy_mev_per_atom": 760.1,
  "magnetic_moment_mub_per_fu": 3.18,
  "relative_energy_mev_per_atom": 944,
  "lattice_angstrom": [[5.021, 0.000, 0.000], [0.000, 5.021, 0.000], [0.000, 0.000, 5.115]],
  "species": ["Ta", "Ga", "Se", "Br", "Br"],
  "fractional_positions": [[0.000, 0.000, 0.000], [0.500, 0.500, 0.500], [0.500, 0.500, 0.000], [0.000, 0.500, 0.500], [0.500, 0.000, 0.500]]
}

---

# 14
{
  "formula": "Th4InGe",
  "functional": "PBE",
  "state": "optimized geometry",
  "magnetic_moment_mub_per_fu": 0.00,
  "ef_ev_per_atom": -0.373,
  "lattice_angstrom": [[7.599, 0.000, 0.000], [0.000, 7.599, 0.000], [0.000, 0.000, 6.088]],
  "species": ["Th", "Th", "Th", "Th", "Th", "Th", "Th", "Th", "In", "In", "Ge", "Ge"],
  "fractional_positions": [[0.149, 0.334, 0.000], [0.149, 0.666, 0.500], [0.334, 0.149, 0.500], [0.334, 0.851, 0.000], [0.666, 0.149, 0.000], [0.666, 0.851, 0.500], [0.851, 0.334, 0.500], [0.851, 0.666, 0.000], [0.500, 0.500, 0.250], [0.500, 0.500, 0.750], [0.000, 0.000, 0.250], [0.000, 0.000, 0.750]]
}

---

# 15
{
  "formula": "CaOsCl2",
  "functional": "PBE",
  "state": "optimized geometry",
  "raw_formation_energy_mev_per_atom": -108.9,
  "magnetic_moment_mub_per_fu": 0.00,
  "relative_energy_mev_per_atom": 302,
  "lattice_angstrom": [[-2.358, 2.358, 7.757], [2.358, -2.358, 7.757], [2.358, 2.358, -7.757]],
  "species": ["Ca", "Ca", "Os", "Os", "Cl", "Cl", "Cl", "Cl"],
  "fractional_positions": [[0.000, 0.000, 0.000], [0.750, 0.250, 0.500], [0.250, 0.750, 0.500], [0.500, 0.500, 0.000], [0.182, 0.625, 0.057], [0.375, 0.432, 0.557], [0.568, 0.125, 0.943], [0.875, 0.818, 0.443]]
}

---

# 16
{
  "formula": "LaYMo2",
  "functional": "PBE",
  "state": "optimized geometry",
  "magnetic_moment_mub_per_fu": 0.00,
  "ef_ev_per_atom": 0.777,
  "relative_energy_mev_per_atom": 594,
  "lattice_angstrom": [[4.214, 0.000, 0.000], [0.000, 4.214, 0.000], [0.000, 0.000, 4.982]],
  "species": ["La", "Y", "Mo", "Mo"],
  "fractional_positions": [[0.000, 0.000, 0.000], [0.500, 0.500, 0.000], [0.000, 0.500, 0.500], [0.500, 0.000, 0.500]]
}

---

# 17
{
  "formula": "SiHgSb2",
  "functional": "PBE",
  "state": "optimized geometry",
  "raw_formation_energy_mev_per_atom": 128.6,
  "magnetic_moment_mub_per_fu": 0.00,
  "lattice_angstrom": [[-3.199, 3.199, 6.125], [3.199, -3.199, 6.125], [3.199, 3.199, -6.125]],
  "species": ["Si", "Si", "Hg", "Hg", "Sb", "Sb", "Sb", "Sb"],
  "fractional_positions": [[0.000, 0.000, 0.000], [0.750, 0.250, 0.500], [0.250, 0.750, 0.500], [0.500, 0.500, 0.000], [0.098, 0.625, 0.973], [0.375, 0.348, 0.473], [0.652, 0.125, 0.027], [0.875, 0.902, 0.527]]
}

---

# 18
{
  "formula": "TaAs3F",
  "functional": "PBE",
  "state": "optimized geometry",
  "raw_formation_energy_mev_per_atom": 15.0,
  "magnetic_moment_mub_per_fu": 0.00,
  "relative_energy_mev_per_atom": 0,
  "lattice_angstrom": [[4.943, 0.000, 0.000], [0.000, 4.943, 0.000], [0.000, 0.000, 4.943]],
  "species": ["Ta", "As", "As", "As", "F"],
  "fractional_positions": [[0.000, 0.000, 0.000], [0.000, 0.000, 0.500], [0.000, 0.500, 0.000], [0.500, 0.000, 0.000], [0.500, 0.500, 0.500]]
}

---

# 19
{
  "formula": "DyEr5Zn4",
  "functional": "PBE",
  "state": "optimized geometry",
  "magnetic_moment_mub_per_fu": 0.00,
  "ef_ev_per_atom": -0.274,
  "lattice_angstrom": [[3.534, 0.000, 0.000], [0.000, 3.534, 0.000], [0.000, 0.000, 19.215]],
  "species": ["Dy", "Er", "Er", "Er", "Er", "Er", "Zn", "Zn", "Zn", "Zn"],
  "fractional_positions": [[0.000, 0.000, 0.000], [0.500, 0.500, 0.132], [0.500, 0.500, 0.316], [0.500, 0.500, 0.500], [0.500, 0.500, 0.684], [0.500, 0.500, 0.868], [0.000, 0.000, 0.224], [0.000, 0.000, 0.407], [0.000, 0.000, 0.593], [0.000, 0.000, 0.776]]
}

---

# 20
{
  "formula": "Na2MgB4H20N4",
  "functional": "PBE",
  "state": "optimized geometry",
  "e_tot_ev_per_cell": -287.75,
  "magnetic_moment_mub_per_fu": 0.00,
  "lattice_angstrom": [[-4.765, 4.765, 6.208], [4.765, -4.765, 6.208], [4.765, 4.765, -6.208]],
  "species": ["Na", "Na", "Na", "Na", "Mg", "Mg", "B", "B", "B", "B", "B", "B", "B", "B", "H", "H", "H", "H", "H", "H", "H", "H", "H", "H", "H", "H", "H", "H", "H", "H", "H", "H", "H", "H", "H", "H", "H", "H", "H", "H", "H", "H", "H", "H", "H", "H", "H", "H", "H", "H", "H", "H", "H", "H", "N", "N", "N", "N", "N", "N", "N", "N"],
  "fractional_positions": [[0.000, 0.000, 0.000], [0.500, 0.000, 0.000], [0.500, 0.000, 0.500], [0.500, 0.500, 0.500], [0.125, 0.375, 0.750], [0.875, 0.625, 0.250], [0.230, 0.776, 0.963], [0.233, 0.270, 0.046], [0.276, 0.813, 0.546], [0.313, 0.267, 0.537], [0.687, 0.733, 0.463], [0.724, 0.187, 0.454], [0.767, 0.730, 0.954], [0.770, 0.224, 0.037], [0.027, 0.403, 0.307], [0.028, 0.369, 0.975], [0.097, 0.904, 0.624], [0.106, 0.947, 0.475], [0.131, 0.606, 0.658], [0.148, 0.119, 0.893], [0.191, 0.789, 0.079], [0.209, 0.112, 0.421], [0.220, 0.527, 0.124], [0.228, 0.268, 0.178], [0.232, 0.910, 0.960], [0.245, 0.352, 0.471], [0.274, 0.745, 0.393], [0.289, 0.709, 0.598], [0.381, 0.774, 0.029], [0.388, 0.309, 0.098], [0.404, 0.280, 0.807], [0.410, 0.950, 0.678], [0.447, 0.472, 0.842], [0.450, 0.272, 0.540], [0.550, 0.728, 0.460], [0.553, 0.528, 0.158], [0.590, 0.050, 0.322], [0.596, 0.720, 0.193], [0.612, 0.691, 0.902], [0.619, 0.226, 0.971], [0.711, 0.291, 0.402], [0.726, 0.255, 0.607], [0.755, 0.648, 0.529], [0.768, 0.090, 0.040], [0.772, 0.732, 0.822], [0.780, 0.473, 0.876], [0.791, 0.888, 0.579], [0.809, 0.211, 0.921], [0.852, 0.881, 0.107], [0.869, 0.394, 0.342], [0.894, 0.053, 0.525], [0.903, 0.096, 0.376], [0.972, 0.631, 0.025], [0.973, 0.597, 0.693], [0.100, 0.601, 0.751], [0.101, 0.850, 0.501], [0.151, 0.400, 0.001], [0.350, 0.349, 0.749], [0.650, 0.651, 0.251], [0.849, 0.600, 0.999], [0.899, 0.150, 0.499], [0.900, 0.399, 0.249]]
}

---

# 21
{
  "formula": "V2CoH6",
  "functional": "PBE",
  "state": "optimized geometry",
  "e_tot_ev_per_cell": -46.42,
  "magnetic_moment_mub_per_fu": 0.00,
  "lattice_angstrom": [[-1.480, 2.065, 4.346], [1.480, -2.065, 4.346], [1.480, 2.065, -4.346]],
  "species": ["V", "V", "Co", "H", "H", "H", "H", "H", "H"],
  "fractional_positions": [[0.166, 0.166, 0.000], [0.834, 0.834, 0.000], [0.500, 0.500, 0.000], [0.091, 0.338, 0.754], [0.273, 0.000, 0.273], [0.416, 0.662, 0.754], [0.584, 0.338, 0.246], [0.727, 0.000, 0.727], [0.909, 0.662, 0.246]]
}

---

# 22
{
  "formula": "LaAuSN2",
  "functional": "PBE",
  "state": "optimized geometry",
  "raw_formation_energy_mev_per_atom": 443.3,
  "magnetic_moment_mub_per_fu": 1.25,
  "relative_energy_mev_per_atom": 0,
  "lattice_angstrom": [[4.212, 0.000, 0.000], [0.000, 4.212, 0.000], [0.000, 0.000, 4.807]],
  "species": ["La", "Au", "S", "N", "N"],
  "fractional_positions": [[0.000, 0.000, 0.000], [0.500, 0.500, 0.500], [0.500, 0.500, 0.000], [0.000, 0.500, 0.500], [0.500, 0.000, 0.500]]
}